Compound: PuCdTe
Source: the Alexandria database
Functional: PBE
Structure: relaxed

CIF file:
```
data_PuCdTe
_chemical_formula_sum 'Pu6 Cd6 Te6'
_symmetry_space_group_name_H-M 'R -3 m'
_symmetry_Int_Tables_number 166
_symmetry_space_group_name_Hall '-R 3 2"'
_cell_length_a 5.0680
_cell_length_b 5.0680
_cell_length_c 25.0348
_cell_angle_alpha 90.00
_cell_angle_beta 90.00
_cell_angle_gamma 120.00
loop_
_atom_site_label
_atom_site_fract_x
_atom_site_fract_y
_atom_site_fract_z
Pu1 0.0000 0.0000 0.0813
Cd1 0.0000 0.0000 0.3362
Te1 0.0000 0.0000 0.2122
```

Output
- DOS at the Fermi energy (states/eV per cell) = 79.831
- raw formation energy (kJ/mol of atoms) = -44.9
- calculated volume (Å³/atom) = 30.9
- final energy (eV per atom) = -6.595

Compound: PuTl2CdTe4
Source: the Alexandria database
Functional: PBE
Structure: relaxed

CIF file:
```
data_PuTl2CdTe4
_chemical_formula_sum 'Pu1 Tl2 Cd1 Te4'
_symmetry_space_group_name_H-M 'P 1 2/m 1'
_symmetry_Int_Tables_number 10
_cell_length_a 7.7332
_cell_length_b 4.4531
_cell_length_c 8.4514
_cell_angle_alpha 90.00
_cell_angle_beta 109.09
_cell_angle_gamma 90.00
loop_
_symmetry_equiv_pos_as_xyz
'x,y,z'
'-x,-y,-z'
'-x,y,-z'
'x,-y,z'
loop_
_atom_site_label
_atom_site_fract_x
_atom_site_fract_y
_atom_site_fract_z
Pu1 0.0000 0.0000 0.0000
Tl1 0.0000 0.5000 0.5000
Tl2 0.5000 0.0000 0.5000
Cd1 0.5000 0.5000 0.0000
Te1 0.2290 0.5000 0.2206
Te2 0.2668 0.0000 0.7927
```

Output
- DOS at the Fermi energy (states/eV per cell) = 13.229
- raw formation energy (kJ/mol of atoms) = -48.5
- calculated volume (Å³/atom) = 34.4
- final energy (eV per atom) = -4.570

Compound: PuTl2Cd2Te4
Source: the Alexandria database
Functional: PBE
Structure: relaxed

CIF file:
```
data_PuTl2Cd2Te4
_chemical_formula_sum 'Pu2 Tl4 Cd4 Te8'
_symmetry_space_group_name_H-M 'C 1 2/m 1'
_symmetry_Int_Tables_number 12
_cell_length_a 16.6577
_cell_length_b 4.5338
_cell_length_c 8.4790
_cell_angle_alpha 90.00
_cell_angle_beta 107.56
_cell_angle_gamma 90.00
loop_
_symmetry_equiv_pos_as_xyz
'x,y,z'
'-x,-y,-z'
'-x,y,-z'
'x,-y,z'
'x+1/2,y+1/2,z'
'-x+1/2,-y+1/2,-z'
'-x+1/2,y+1/2,-z'
'x+1/2,-y+1/2,z'
loop_
_atom_site_label
_atom_site_fract_x
_atom_site_fract_y
_atom_site_fract_z
Pu1 0.0000 0.0000 0.0000
Tl1 0.1225 0.0000 0.5563
Cd1 0.1682 0.5000 0.9808
Te1 0.0063 0.5000 0.7415
Te2 0.2060 0.0000 0.2042
```

Output
- DOS at the Fermi energy (states/eV per cell) = 31.272
- raw formation energy (kJ/mol of atoms) = -47.1
- calculated volume (Å³/atom) = 33.9
- final energy (eV per atom) = -4.207

Compound: PuTlCdTe3
Source: the Alexandria database
Functional: PBE
Structure: relaxed

CIF file:
```
data_PuTlCdTe3
_chemical_formula_sum 'Pu2 Tl2 Cd2 Te6'
_symmetry_space_group_name_H-M 'P 1 21/m 1'
_symmetry_Int_Tables_number 11
_cell_length_a 9.4251
_cell_length_b 4.5467
_cell_length_c 10.5383
_cell_angle_alpha 90.00
_cell_angle_beta 105.99
_cell_angle_gamma 90.00
loop_
_symmetry_equiv_pos_as_xyz
'x,y,z'
'-x,-y,-z'
'-x,y+1/2,-z'
'x,-y+1/2,z'
loop_
_atom_site_label
_atom_site_fract_x
_atom_site_fract_y
_atom_site_fract_z
Pu1 0.1769 0.2500 0.1441
Tl1 0.2889 0.7500 0.7790
Cd1 0.4138 0.7500 0.3932
Te1 0.0429 0.2500 0.8396
Te2 0.2659 0.2500 0.4673
Te3 0.3994 0.7500 0.1210
```

Output
- DOS at the Fermi energy (states/eV per cell) = 26.445
- raw formation energy (kJ/mol of atoms) = -60.9
- calculated volume (Å³/atom) = 36.2
- final energy (eV per atom) = -5.137

The highest DOS at the Fermi energy belongs to which entry?
PuCdTe